Entry 1:
CuTeBr2 at its PBEsol-relaxed geometry. Source: the Alexandria database, functional meta-GGA SCAN.

Energy (eV for the cell shown): -92.1
ΔE_f (raw) (eV/f.u.): -0.76
SG: Imm2
N(E_F) (states/eV/cell): 2.0

Cell: 3.5335 5.5636 7.2534 Å, 112.55 104.10 90.00°
Last column: nearest neighbours and their distance in Å.
Atoms (fractional coordinates):
Te: 0.8918 0.3918 0.7836  2 Cu 2.54, 2 Br 2.80
Br: 0.1560 0.6560 0.3119  2 Cu 2.37
Cu: 0.5332 0.5332 0.0664  2 Br 2.37, 2 Te 2.54
Br: 0.9190 0.9190 0.8380  2 Te 2.80



Entry 2:
Tl2CuBr at its PBEsol-relaxed geometry. Source: the Alexandria database, functional meta-GGA SCAN.

Energy (eV for the cell shown): -179.8
ΔE_f (raw) (eV/f.u.): -0.39
Energy above the most stable polymorph in this dataset (meV per atom): 0
SG: P4mm
N(E_F) (states/eV/cell): 0.9

Cell: 3.8036 3.8036 7.4647 Å, 90.00 90.00 90.00°
Last column: nearest neighbours and their distance in Å.
Atoms (fractional coordinates):
Tl: 0.0000 0.0000 0.8783  4 Cu 2.69
Cu: 0.5000 0.5000 0.8959  5 Tl 2.69
Tl: 0.5000 0.5000 0.2568  1 Cu 2.69
Br: 0.0000 0.0000 0.4690  5 Tl 3.06-3.12



Entry 3:
Tl2CuBr at its PBEsol-relaxed geometry. Source: the Alexandria database, functional meta-GGA SCAN.

Energy (eV for the cell shown): -179.5
ΔE_f (raw) (eV/f.u.): -0.11
Energy above the most stable polymorph in this dataset (meV per atom): 70
SG: Cmm2
N(E_F) (states/eV/cell): 1.7

Cell: 3.4814 3.4814 8.6300 Å, 90.00 90.00 111.20°
Last column: nearest neighbours and their distance in Å.
Atoms (fractional coordinates):
Tl: 0.5000 0.5000 0.7490  6 Tl 3.26-3.48, 2 Br 3.35
Br: 0.0000 0.0000 0.4349  2 Cu 2.45
Cu: 0.5000 0.5000 0.2651  2 Br 2.45, 2 Tl 2.70
Tl: 0.0000 0.0000 0.0510  2 Cu 2.70



Entry 4:
Tl2CuBr at its PBEsol-relaxed geometry. Source: the Alexandria database, functional meta-GGA SCAN.

Energy (eV for the cell shown): -178.4
ΔE_f (raw) (eV/f.u.): 0.96
Energy above the most stable polymorph in this dataset (meV per atom): 337
SG: F-43m
N(E_F) (states/eV/cell): 0.4

Cell: 5.2227 5.2227 5.2227 Å, 60.00 60.00 60.00°
Last column: nearest neighbours and their distance in Å.
Atoms (fractional coordinates):
Tl: 0.0000 0.0000 0.0000  4 Cu 3.20, 4 Tl 3.20
Br: 0.5000 0.5000 0.5000  4 Tl 3.20, 4 Cu 3.20
Cu: 0.2500 0.2500 0.2500  4 Tl 3.20, 4 Br 3.20
Tl: 0.7500 0.7500 0.7500  4 Tl 3.20, 4 Br 3.20



Entry 5:
CuW3Br at its PBEsol-relaxed geometry. Source: the Alexandria database, functional meta-GGA SCAN.

Energy (eV for the cell shown): -230.9
ΔE_f (raw) (eV/f.u.): 12.79
SG: Pm-3m
N(E_F) (states/eV/cell): 2.3

Cell: 4.5190 4.5190 4.5190 Å, 90.00 90.00 90.00°
Last column: nearest neighbours and their distance in Å.
Atoms (fractional coordinates):
W: 0.0000 0.5000 0.0000  2 Br 2.26
W: 0.5000 0.0000 0.0000  2 Br 2.26
W: 0.0000 0.0000 0.5000  2 Br 2.26
Br: 0.0000 0.0000 0.0000  6 W 2.26
Cu: 0.5000 0.5000 0.5000  12 W 3.20



Entry 6:
CuWBr at its PBEsol-relaxed geometry. Source: the Alexandria database, functional meta-GGA SCAN.

Energy (eV for the cell shown): -100.7
ΔE_f (raw) (eV/f.u.): 3.61
SG: P-6m2
N(E_F) (states/eV/cell): 1.8

Cell: 2.8640 4.3455 4.3455 Å, 120.00 90.00 90.00°
Last column: nearest neighbours and their distance in Å.
Atoms (fractional coordinates):
Cu: 0.6668 0.3333 0.6667  2 Cu 2.86, 6 Br 2.89, 6 W 2.89
Br: 0.1665 0.0000 0.0000  3 W 2.51
W: 0.1667 0.6667 0.3333  3 Br 2.51



Entry 7:
YCu2Br at its PBEsol-relaxed geometry. Source: the Alexandria database, functional meta-GGA SCAN.

Energy (eV for the cell shown): -78.1
ΔE_f (raw) (eV/f.u.): -0.42
Energy above the most stable polymorph in this dataset (meV per atom): 400
SG: F-43m
N(E_F) (states/eV/cell): 1.0

Cell: 4.7027 4.7027 4.7027 Å, 60.00 60.00 60.00°
Last column: nearest neighbours and their distance in Å.
Atoms (fractional coordinates):
Cu: 0.0000 0.0000 0.0000  4 Cu 2.88, 4 Y 2.88
Y: 0.2500 0.2500 0.2500  4 Br 2.88, 4 Cu 2.88
Br: 0.5000 0.5000 0.5000  4 Cu 2.88, 4 Y 2.88
Cu: 0.7500 0.7500 0.7500  4 Br 2.88, 4 Cu 2.88



Entry 8:
YCu2Br at its PBEsol-relaxed geometry. Source: the Alexandria database, functional meta-GGA SCAN.

Energy (eV for the cell shown): -79.7
ΔE_f (raw) (eV/f.u.): -2.02
Energy above the most stable polymorph in this dataset (meV per atom): 0
SG: R3m
N(E_F) (states/eV/cell): 1.4

Cell: 4.0401 4.0401 6.7930 Å, 72.70 72.70 60.00°
Last column: nearest neighbours and their distance in Å.
Atoms (fractional coordinates):
Y: 0.4787 0.4787 0.5640  6 Cu 2.83-2.92, 3 Br 2.95
Cu: 0.7283 0.7283 0.8150  3 Cu 2.34
Cu: 0.0533 0.0533 0.8401  3 Cu 2.34
Br: 0.2397 0.2397 0.2810  3 Y 2.95



Entry 9:
YCuBr at its PBEsol-relaxed geometry. Source: the Alexandria database, functional meta-GGA SCAN.

Energy (eV for the cell shown): -62.9
ΔE_f (raw) (eV/f.u.): -0.37
SG: F-43m
N(E_F) (states/eV/cell): 1.3

Cell: 4.6248 4.6248 4.6248 Å, 60.00 60.00 60.00°
Last column: nearest neighbours and their distance in Å.
Atoms (fractional coordinates):
Cu: 0.2500 0.2500 0.2500  4 Br 2.83, 4 Y 2.83
Y: 0.0000 0.0000 0.0000  4 Cu 2.83
Br: 0.5000 0.5000 0.5000  4 Cu 2.83



Entry 10:
ZnCuBr2 at its PBEsol-relaxed geometry. Source: the Alexandria database, functional meta-GGA SCAN.

Energy (eV for the cell shown): -67.7
ΔE_f (raw) (eV/f.u.): -0.07
Energy above the most stable polymorph in this dataset (meV per atom): 205
SG: C2/m
N(E_F) (states/eV/cell): 1.0

Cell: 3.8003 5.1808 5.1808 Å, 89.40 69.21 69.21°
Last column: nearest neighbours and their distance in Å.
Atoms (fractional coordinates):
Cu: 0.0000 0.5000 0.5000  4 Br 2.59
Br: 0.0000 0.0000 0.5000  2 Zn 2.59, 2 Cu 2.59
Zn: 0.0000 0.0000 0.0000  4 Br 2.59
Br: 0.0000 0.5000 0.0000  2 Cu 2.59, 2 Zn 2.59



Entry 11:
ZnCuBr2 at its PBEsol-relaxed geometry. Source: the Alexandria database, functional meta-GGA SCAN.

Energy (eV for the cell shown): -67.9
ΔE_f (raw) (eV/f.u.): -0.30
Energy above the most stable polymorph in this dataset (meV per atom): 147
SG: P4/mmm
N(E_F) (states/eV/cell): 1.1

Cell: 3.8561 3.8561 5.4028 Å, 90.00 90.00 90.00°
Last column: nearest neighbours and their distance in Å.
Atoms (fractional coordinates):
Zn: 0.5000 0.5000 0.8748  6 Br 2.70-2.73
Cu: 0.0000 0.0000 0.3750  6 Br 2.70-2.73
Br: 0.0000 0.0000 0.8753  2 Cu 2.70, 4 Zn 2.73
Br: 0.5000 0.5000 0.3749  2 Zn 2.70, 4 Cu 2.73



Entry 12:
ZnCuBr2 at its PBEsol-relaxed geometry. Source: the Alexandria database, functional meta-GGA SCAN.

Energy (eV for the cell shown): -68.5
ΔE_f (raw) (eV/f.u.): -0.89
Energy above the most stable polymorph in this dataset (meV per atom): 0
SG: Amm2
N(E_F) (states/eV/cell): 1.4

Cell: 3.5410 4.6063 5.8993 Å, 90.01 107.46 90.00°
Last column: nearest neighbours and their distance in Å.
Atoms (fractional coordinates):
Br: 0.3179 0.2498 0.6358  2 Cu 2.45
Cu: 0.3917 0.7498 0.7833  4 Br 2.45-2.56, 2 Zn 2.51
Br: 0.0563 0.7496 0.1126  2 Cu 2.56, 2 Zn 2.67
Zn: 0.7341 0.7507 0.4683  2 Cu 2.51, 2 Br 2.67



Entry 13:
Zr2ZnCuBr at its PBEsol-relaxed geometry. Source: the Alexandria database, functional meta-GGA SCAN.

Energy (eV for the cell shown): -106.6
ΔE_f (raw) (eV/f.u.): 2.95
SG: P4/mmm
N(E_F) (states/eV/cell): 2.9

Cell: 4.3961 4.9151 4.9151 Å, 90.00 90.00 90.00°
Last column: nearest neighbours and their distance in Å.
Atoms (fractional coordinates):
Zr: 0.0000 0.0000 0.5000  2 Br 2.46
Zr: 0.0000 0.5000 0.0000  2 Br 2.46
Br: 0.0000 0.0000 0.0000  2 Cu 2.20, 4 Zr 2.46
Zn: 0.5000 0.5000 0.5000  8 Zr 3.30, 4 Cu 3.48
Cu: 0.5000 0.0000 0.0000  2 Br 2.20



Entry 14:
ZrCuBr2 at its PBEsol-relaxed geometry. Source: the Alexandria database, functional meta-GGA SCAN.

Energy (eV for the cell shown): -85.4
ΔE_f (raw) (eV/f.u.): -0.60
Energy above the most stable polymorph in this dataset (meV per atom): 0
SG: P2/m
N(E_F) (states/eV/cell): 2.0

Cell: 3.2963 4.6303 5.4302 Å, 112.73 90.00 90.00°
Last column: nearest neighbours and their distance in Å.
Atoms (fractional coordinates):
Br: 0.5000 0.5000 0.5000  2 Cu 2.72, 4 Zr 2.84
Zr: 0.0000 0.0000 0.5000  6 Br 2.72-2.84
Br: 0.0000 0.0000 0.0000  2 Zr 2.72, 4 Cu 2.84
Cu: 0.5000 0.5000 0.0000  6 Br 2.72-2.84



Entry 15:
ZrCuBr2 at its PBEsol-relaxed geometry. Source: the Alexandria database, functional meta-GGA SCAN.

Energy (eV for the cell shown): -84.8
ΔE_f (raw) (eV/f.u.): 0.01
Energy above the most stable polymorph in this dataset (meV per atom): 153
SG: Cmmm
N(E_F) (states/eV/cell): 1.9

Cell: 3.3337 4.7253 4.7253 Å, 95.83 90.00 90.00°
Last column: nearest neighbours and their distance in Å.
Atoms (fractional coordinates):
Zr: 0.5000 0.5000 0.5000  8 Br 2.89, 2 Cu 3.17
Br: 0.0000 0.0000 0.5000  4 Cu 2.89, 4 Zr 2.89, 2 Br 3.17
Br: 0.0000 0.5000 0.0000  4 Zr 2.89, 4 Cu 2.89, 2 Br 3.17
Cu: 0.5000 0.0000 0.0000  8 Br 2.89, 2 Zr 3.17



Entry 16:
ZrCuBr2 at its PBEsol-relaxed geometry. Source: the Alexandria database, functional meta-GGA SCAN.

Energy (eV for the cell shown): -83.9
ΔE_f (raw) (eV/f.u.): 0.93
Energy above the most stable polymorph in this dataset (meV per atom): 384
SG: F-43m
N(E_F) (states/eV/cell): 2.7

Cell: 4.8414 4.8414 4.8414 Å, 60.00 60.00 60.00°
Last column: nearest neighbours and their distance in Å.
Atoms (fractional coordinates):
Zr: 0.2500 0.2500 0.2500  4 Br 2.96, 4 Cu 2.96
Br: 0.0000 0.0000 0.0000  4 Br 2.96, 4 Zr 2.96
Br: 0.7500 0.7500 0.7500  4 Cu 2.96, 4 Br 2.96
Cu: 0.5000 0.5000 0.5000  4 Zr 2.96, 4 Br 2.96